No. 1
Here is Cu3ClF after structural relaxation from Alexandria. Energies are from PBE.

Cell and atoms, written as POSCAR:
```
Cu3ClF
1.0
-0.1360 -2.6057 -3.3758
-0.6438 -3.3263 2.5934
-4.2156 0.5921 -0.2872
F Cu Cl
1 3 1
direct
0.0000 0.0000 0.0000
0.0000 0.5000 0.0000
0.0000 0.0000 0.5000
0.5000 0.0000 0.0000
0.5000 0.5000 0.5000
```

Values from the calculation:
Energy above the lowest structure with this stoichiometry (meV/atom): 0

No. 2
Here is La2Tb2PrDy2 after structural relaxation from Alexandria. Energies are from PBE.

Cell and atoms, written as POSCAR:
```
La2Tb2PrDy2
1.0
-4.0775 2.6459 1.6457
0.0295 -1.0770 -6.1964
-3.6026 -6.9488 2.2458
La Tb Pr Dy
2 2 1 2
direct
0.1429 0.2859 0.4281
0.8571 0.7141 0.5719
0.5712 0.1423 0.7178
0.4288 0.8577 0.2822
0.0000 0.0000 0.0000
0.7158 0.4316 0.1392
0.2842 0.5684 0.8608
```

Values from the calculation:
Energy relative to the elements (meV/atom): 27.2

No. 3
Here is Y3Al2Ni9 after structural relaxation from Alexandria. Energies are from PBE.

Cell and atoms, written as POSCAR:
```
Y3Al2Ni9
1.0
3.9703 0.0000 0.0000
1.9852 7.5082 0.3894
1.9852 2.0811 7.2246
Y Al Ni
3 2 9
direct
0.0000 0.0000 0.0000
0.7016 0.2984 0.2984
0.2984 0.7016 0.7016
0.5000 0.2917 0.7083
0.5000 0.7083 0.2917
0.0000 0.5000 0.5000
0.6767 0.9735 0.6730
0.3233 0.0265 0.3270
0.6767 0.6730 0.9735
0.3233 0.3270 0.0265
0.8817 0.8392 0.3975
0.1183 0.1608 0.6025
0.8817 0.3975 0.8392
0.1183 0.6025 0.1608
```

Values from the calculation:
Energy relative to the elements (meV/atom): -402.0

No. 4
Here is Sr12Ag3Cl5 after structural relaxation from Alexandria. Energies are from PBE.

Cell and atoms, written as POSCAR:
```
Sr12Ag3Cl5
1.0
16.0995 0.0000 0.0000
-5.3665 15.1787 0.0000
-5.3665 -7.5894 13.1452
Ag Cl Sr
12 20 48
direct
0.7500 0.3750 0.1250
0.8750 0.7500 0.1250
0.3750 0.7500 0.6250
0.2500 0.1250 0.3750
0.8750 0.1250 0.2500
0.3750 0.6250 0.2500
0.6250 0.3750 0.7500
0.1250 0.8750 0.7500
0.7500 0.8750 0.6250
0.6250 0.2500 0.3750
0.1250 0.2500 0.8750
0.2500 0.6250 0.8750
0.1250 0.3750 0.2500
0.0000 0.5000 0.0000
0.0000 0.0000 0.0000
0.3750 0.2500 0.1250
0.5000 0.0000 0.5000
0.5000 0.5000 0.0000
0.1250 0.7500 0.3750
0.7500 0.1250 0.8750
0.7500 0.6250 0.3750
0.3750 0.1250 0.7500
0.6250 0.8750 0.2500
0.5000 0.5000 0.5000
0.5000 0.0000 0.0000
0.0000 0.0000 0.5000
0.2500 0.3750 0.6250
0.2500 0.8750 0.1250
0.0000 0.5000 0.5000
0.8750 0.2500 0.6250
0.6250 0.7500 0.8750
0.8750 0.6250 0.7500
0.7229 0.1301 0.0447
0.3218 0.5447 0.4147
0.9553 0.3699 0.2771
0.5447 0.2229 0.1301
0.5929 0.7229 0.6782
0.9553 0.5853 0.1782
0.3218 0.7771 0.4071
0.0853 0.9071 0.1301
0.5853 0.9553 0.6782
0.7229 0.5929 0.1782
0.7771 0.4553 0.3699
0.8218 0.9147 0.0447
0.1301 0.7229 0.5447
0.3699 0.4147 0.0929
0.0929 0.9147 0.3699
0.4071 0.1301 0.5853
0.0929 0.1782 0.2229
0.4553 0.6782 0.0853
0.8218 0.9071 0.2771
0.1301 0.4071 0.0853
0.3699 0.9553 0.7771
0.5853 0.6301 0.4071
0.9147 0.8218 0.5447
0.7771 0.3218 0.9071
0.4147 0.3699 0.5929
0.0853 0.1782 0.4553
0.2229 0.6782 0.0929
0.1782 0.0929 0.7229
0.6301 0.0447 0.2229
0.8699 0.5929 0.9147
0.5447 0.3218 0.9147
0.5929 0.8699 0.4147
0.9071 0.8218 0.7771
0.9071 0.0853 0.6301
0.8699 0.2771 0.4553
0.1782 0.0853 0.9553
0.6301 0.5853 0.9071
0.4147 0.0447 0.3218
0.2771 0.4071 0.8218
0.2229 0.5447 0.6301
0.9147 0.0929 0.8699
0.6782 0.2229 0.5929
0.4553 0.7771 0.8699
0.0447 0.4147 0.8218
0.4071 0.2771 0.3218
0.0447 0.6301 0.7229
0.6782 0.4553 0.5853
0.2771 0.8699 0.9553
```

Values from the calculation:
Electronic total energy (eV/atom): -2.731

No. 5
Here is ScC2 after structural relaxation from Alexandria. Energies are from PBE.

Cell and atoms, written as POSCAR:
```
ScC2
1.0
1.4880 -6.9532 0.0000
1.4880 6.9532 0.0000
0.0000 0.0000 2.7494
Sc C
2 4
direct
0.1152 0.8848 0.7500
0.8848 0.1152 0.2500
0.7440 0.2560 0.7500
0.4739 0.5261 0.7500
0.2560 0.7440 0.2500
0.5261 0.4739 0.2500
```

Values from the calculation:
Energy relative to the elements (meV/atom): 483.4

No. 6
Here is BaY2 after structural relaxation from Alexandria. Energies are from PBE.

Cell and atoms, written as POSCAR:
```
BaY2
1.0
1.9100 6.9455 0.0629
-1.9100 6.9455 0.0629
0.0000 2.3020 8.7541
Ba Y
2 4
direct
0.9927 0.9927 0.9996
0.3373 0.3373 0.3522
0.6636 0.6636 0.6626
0.6193 0.6193 0.2822
0.9550 0.9550 0.6181
0.2655 0.2655 0.9187
```

Values from the calculation:
Energy above the lowest structure with this stoichiometry (meV/atom): 69
Energy relative to the elements (meV/atom): 229.7

No. 7
Here is MnAgSeBr2 after structural relaxation from Alexandria. Energies are from PBE.

Cell and atoms, written as POSCAR:
```
MnAgSeBr2
1.0
5.2205 0.0000 0.0000
0.0000 5.2205 0.0000
0.0000 0.0000 4.4559
Mn Se Br Ag
1 1 2 1
direct
0.0000 0.0000 0.0000
0.0000 0.0000 0.5000
0.0000 0.5000 0.0000
0.5000 0.0000 0.0000
0.5000 0.5000 0.5000
```

Values from the calculation:
Energy above the lowest structure with this stoichiometry (meV/atom): 0

No. 8
Here is Li2Dy2Si3 after structural relaxation from Alexandria. Energies are from PBE.

Cell and atoms, written as POSCAR:
```
Li2Dy2Si3
1.0
-4.2372 -0.4044 0.0584
0.2809 -3.7431 -5.5370
2.8960 -7.2137 5.0236
Li Dy Si
4 4 6
direct
0.6899 0.9395 0.3799
0.3101 0.0605 0.6201
0.3101 0.4395 0.6201
0.6899 0.5605 0.3799
0.1566 0.2500 0.3133
0.8434 0.7500 0.6867
0.9477 0.2500 0.8954
0.0523 0.7500 0.1046
0.2206 0.7500 0.4412
0.7794 0.2500 0.5588
0.5596 0.4281 0.1192
0.4404 0.5719 0.8808
0.4404 0.9281 0.8808
0.5596 0.0719 0.1192
```

Values from the calculation:
Electronic total energy (eV/atom): -4.791

Taking the records one at a time from the top gives total magnetic moment values of 0.00, 0.00, 0.00, 0.00, 0.00, 0.00, 0.41, 0.00 μB per cell.
Taking the records one at a time from the top gives calculated volume values of 15.53, 33.94, 15.15, 40.15, 9.48, 38.62, 24.29, 18.32 Å³/atom.